Compound: TiNiIr2O
Source: Alexandria
Functional: PBE+U
Structure: relaxed

## Properties
V	18.150	A^3/atom
calculated total energy	-4.698	eV/atom
size of the total moment	2.313	μB/f.u.

a = 4.582 Å, b = 4.322 Å, c = 4.582 Å
α = 90.00°, β = 90.00°, γ = 90.00°
Atoms (fractional coordinates):
Ir1 0.500 0.000 0.000
Ni1 0.000 0.500 0.000
O1 0.500 0.500 0.500
Ir2 0.000 0.000 0.500
Ti1 0.000 0.000 0.000